Density functional theory data (PBE-GGA) for an optimized crystal structure of CdMo2As.

Output
**V**: 69.0 Å³/cell
**Energy**: -6.248 eV/atom
**Theoretical density**: 9.13 Mg/m³

Unit cell a=4.6033 b=4.6033 c=4.6033 alpha=60.00 beta=60.00 gamma=60.00
Atoms (fractional coordinates):
1 Cd 0.0000 0.0000 0.0000
2 Mo 0.5000 0.5000 0.5000
3 Mo 0.7500 0.7500 0.7500
4 As 0.2500 0.2500 0.2500

Density functional theory data (PBE-GGA) for an optimized crystal structure of Y2CoH.

Output
**V**: 149.0 Å³/cell
**Energy**: -5.919 eV/atom
**Theoretical density**: 5.30 Mg/m³

Unit cell a=5.8024 b=5.8024 c=5.8024 alpha=112.81 beta=112.81 gamma=102.98
Atoms (fractional coordinates):
1 Y 0.0694 0.6250 0.9444
2 Y 0.3750 0.3194 0.4444
3 Y 0.6806 0.1250 0.0556
4 Y 0.8750 0.9306 0.5556
5 Co 0.2500 0.7500 0.5000
6 Co 0.5000 0.5000 0.0000
7 H 0.0000 0.0000 0.0000
8 H 0.7500 0.2500 0.5000

Density functional theory data (PBE-GGA) for an optimized crystal structure of LaCrTcOs2.

Output
**V**: 106.7 Å³/cell
**Energy**: -6.742 eV/atom
**Theoretical density**: 10.41 Mg/m³

Unit cell a=4.8100 b=4.8100 c=4.6138 alpha=90.00 beta=90.00 gamma=90.00
Atoms (fractional coordinates):
1 La 0.0000 0.0000 0.0000
2 Cr 0.0000 0.0000 0.5000
3 Tc 0.5000 0.5000 0.5000
4 Os 0.0000 0.5000 0.0000
5 Os 0.5000 0.0000 0.0000

Density functional theory data (PBE-GGA) for an optimized crystal structure of Tb4PrEr3Se8.

Output
**Formation energy from raw total energies**: -1741 meV per atom
**V**: 389.2 Å³/cell
**Energy**: -5.795 eV/atom
**Theoretical density**: 8.15 Mg/m³

Unit cell a=8.1855 b=8.1855 c=8.1855 alpha=60.15 beta=60.15 gamma=60.15
Atoms (fractional coordinates):
1 Tb 0.0000 0.0000 0.0000
2 Tb 0.0000 0.5000 0.5000
3 Tb 0.5000 0.0000 0.5000
4 Tb 0.5000 0.5000 0.0000
5 Pr 0.5000 0.5000 0.5000
6 Er 0.0000 0.0000 0.5000
7 Er 0.0000 0.5000 0.0000
8 Er 0.5000 0.0000 0.0000
9 Se 0.2408 0.7550 0.7550
10 Se 0.2450 0.2450 0.7592
11 Se 0.2450 0.7592 0.2450
12 Se 0.2480 0.2480 0.2480
13 Se 0.7520 0.7520 0.7520
14 Se 0.7550 0.2408 0.7550
15 Se 0.7550 0.7550 0.2408
16 Se 0.7592 0.2450 0.2450

Density functional theory data (PBE-GGA) for an optimized crystal structure of LiCe2HfS5.

Output
**Formation energy from raw total energies**: -1755 meV per atom
**V**: 369.0 Å³/cell
**Energy**: -6.685 eV/atom
**Theoretical density**: 5.63 Mg/m³

Unit cell a=8.3741 b=8.3741 c=11.7189 alpha=90.00 beta=90.00 gamma=153.32
Atoms (fractional coordinates):
1 Li 0.0452 0.9548 0.5000
2 Li 0.9548 0.0452 0.0000
3 Ce 0.3690 0.6310 0.3472
4 Ce 0.3926 0.6074 0.7307
5 Ce 0.6074 0.3926 0.2307
6 Ce 0.6310 0.3690 0.8472
7 Hf 0.3002 0.6998 0.0564
8 Hf 0.6998 0.3002 0.5564
9 S 0.0053 0.9947 0.8172
10 S 0.1418 0.8582 0.0443
11 S 0.1895 0.8105 0.4063
12 S 0.2156 0.7844 0.7050
13 S 0.4463 0.5537 0.1040
14 S 0.5537 0.4463 0.6040
15 S 0.7844 0.2156 0.2050
16 S 0.8105 0.1895 0.9063
17 S 0.8582 0.1418 0.5443
18 S 0.9947 0.0053 0.3172

Density functional theory data (PBE-GGA) for an optimized crystal structure of Mg8BiIr2.

Output
**V**: 224.4 Å³/cell
**Energy**: -3.329 eV/atom
**Theoretical density**: 5.83 Mg/m³

Unit cell a=4.6843 b=6.6888 c=8.2119 alpha=113.38 beta=105.70 gamma=91.92
Atoms (fractional coordinates):
1 Mg 0.0000 0.0000 0.0000
2 Mg 0.0305 0.4703 0.0657
3 Mg 0.2116 0.3405 0.3968
4 Mg 0.4011 0.8861 0.6551
5 Mg 0.4701 0.6003 0.9136
6 Mg 0.6203 0.0593 0.2455
7 Mg 0.6551 0.6545 0.3100
8 Mg 0.9692 0.1449 0.6563
9 Bi 0.8454 0.5699 0.6550
10 Ir 0.1503 0.9041 0.3232
11 Ir 0.4823 0.2363 0.9869